No. 1
A relaxed PrSmNbN3 crystal. Source: Alexandria, functional GGA-PBE.

a b c (Å): 3.4763 5.9431 8.8067
angles (deg): 102.71 90.00 90.00
With the nearest neighbours (Å) after each atom.
Element x y z (fractional)
Pr: 0.7500 0.6481 0.6856  7 N 2.58-2.75
Pr: 0.2500 0.3519 0.3144  7 N 2.58-2.75
N: 0.2500 0.9556 0.8211  1 Nb 2.13
N: 0.7500 0.5682 0.1829  1 Nb 2.11
N: 0.2500 0.4318 0.8171  1 Nb 2.11
N: 0.7500 0.2301 0.5241  3 Nb 2.13-2.30
N: 0.7500 0.0444 0.1789  1 Nb 2.13
N: 0.2500 0.7699 0.4759  3 Nb 2.13-2.30
Nb: 0.7500 0.8669 0.3648  5 N 2.11-2.30
Nb: 0.2500 0.1331 0.6352  5 N 2.11-2.30
Sm: 0.2500 0.7678 0.0468  6 N 2.48-2.55
Sm: 0.7500 0.2322 0.9532  6 N 2.48-2.55

Calculated values
- formation energy from raw total energies (meV/atom) = -1273
- SG = No. 11
- E (eV per cell) = -104.37
- V (A^3/atom) = 14.79

No. 2
A relaxed TlSbRu4 crystal. Source: Alexandria, functional GGA-PBE.

a b c (Å): 5.2943 5.2943 5.2943
angles (deg): 60.00 60.00 60.00
With the nearest neighbours (Å) after each atom.
Element x y z (fractional)
Sb: 0.7500 0.7500 0.7500  12 Ru 3.10, 4 Tl 3.24
Ru: 0.3753 0.8741 0.3753  6 Ru 2.64-2.65
Ru: 0.8741 0.3753 0.3753  6 Ru 2.64-2.65
Ru: 0.3753 0.3753 0.3753  6 Ru 2.64-2.65
Ru: 0.3753 0.3753 0.8741  6 Ru 2.64-2.65
Tl: 0.0000 0.0000 0.0000  12 Ru 3.10, 4 Sb 3.24

Calculated values
- formation energy from raw total energies (meV/atom) = 609
- SG = No. 216
- E (eV per cell) = -39.94
- V (A^3/atom) = 17.49

No. 3
A relaxed CaCeBiO6 crystal. Source: Alexandria, functional GGA-PBE.

a b c (Å): 4.7666 5.7767 5.7767
angles (deg): 120.00 90.00 90.00
With the nearest neighbours (Å) after each atom.
Element x y z (fractional)
O: 0.2585 0.3061 0.3221  1 Bi 2.15, 1 Ce 2.28, 1 Ca 2.35
O: 0.7415 0.6779 0.6939  1 Bi 2.15, 1 Ce 2.28, 1 Ca 2.35
O: 0.2585 0.6779 0.9839  1 Bi 2.15, 1 Ce 2.28, 1 Ca 2.35
O: 0.7415 0.0161 0.3221  1 Bi 2.15, 1 Ce 2.28, 1 Ca 2.35
O: 0.2585 0.0161 0.6939  1 Bi 2.15, 1 Ce 2.28, 1 Ca 2.35
O: 0.7415 0.3061 0.9839  1 Bi 2.15, 1 Ce 2.28, 1 Ca 2.35
Bi: 0.5000 0.0000 0.0000  6 O 2.15
Ce: 0.0000 0.3333 0.6667  6 O 2.28
Ca: 0.5000 0.6667 0.3333  6 O 2.35

Calculated values
- formation energy from raw total energies (meV/atom) = -1953
- SG = No. 149
- E (eV per cell) = -59.15
- V (A^3/atom) = 15.31

No. 4
A relaxed Cu2H4PdPt crystal. Source: Alexandria, functional GGA-PBE.

a b c (Å): 2.9468 4.7757 5.1318
angles (deg): 68.65 90.00 90.00
With the nearest neighbours (Å) after each atom.
Element x y z (fractional)
Pd: 0.5000 0.5000 0.0000  6 H 1.92-2.09
H: 0.0000 0.2674 0.2864  1 Pt 1.82, 2 Cu 2.00
H: 0.5000 0.2642 0.7668  1 Pd 1.92, 2 Cu 2.02, 2 Pt 2.05
H: 0.0000 0.7326 0.7136  1 Pt 1.82, 2 Cu 2.00
H: 0.5000 0.7358 0.2332  1 Pd 1.92, 2 Cu 2.02, 2 Pt 2.05
Pt: 0.0000 0.5000 0.5000  2 H 1.82
Cu: 0.5000 0.0000 0.5000  6 H 2.00-2.17
Cu: 0.0000 0.0000 0.0000  4 H 2.02

Calculated values
- SG = No. 10
- E (eV per cell) = -32.08
- V (A^3/atom) = 8.41

No. 5
A relaxed Ba2NaIr crystal. Source: Alexandria, functional GGA-PBE.

a b c (Å): 4.5632 8.6304 10.7423
angles (deg): 69.99 77.74 74.67
With the nearest neighbours (Å) after each atom.
Element x y z (fractional)
Ba: 0.6482 0.3486 0.3550  3 Ir 3.12-3.44
Ba: 0.5964 0.0474 0.7597  3 Ir 3.13-3.49
Ba: 0.3518 0.6514 0.6450  3 Ir 3.12-3.44
Ba: 0.4036 0.9526 0.2403  3 Ir 3.13-3.49
Ir: 0.2244 0.0413 0.5098  2 Ir 2.41
Ir: 0.7756 0.9587 0.4902  2 Ir 2.41
Na: 0.1525 0.6618 0.0332  2 Na 3.75, 1 Ba 4.10
Na: 0.8475 0.3382 0.9668  2 Na 3.75, 1 Ba 4.10

Calculated values
- polymorph energy (0 for the lowest one) (meV per atom) = 0
- SG = No. 12
- E (eV per cell) = -28.77
- V (A^3/atom) = 47.49
- formation enthalpy at 0 K (eV per atom) = -0.09

No. 6
A relaxed TbSm4Tl4 crystal. Source: Alexandria, functional GGA-PBE.

a b c (Å): 6.1663 9.3604 9.3604
angles (deg): 90.00 90.00 90.00
With the nearest neighbours (Å) after each atom.
Element x y z (fractional)
Tb: 0.0000 0.0000 0.0000  4 Tl 3.19, 4 Sm 3.29
Tb: 0.5000 0.5000 0.5000  4 Tl 3.19, 4 Sm 3.29
Sm: 0.8729 0.6668 0.9250  5 Tl 3.23-3.50, 1 Tb 3.29, 1 Sm 3.42
Sm: 0.3729 0.5750 0.1668  5 Tl 3.23-3.50, 1 Tb 3.29, 1 Sm 3.42
Sm: 0.3729 0.4250 0.8332  5 Tl 3.23-3.50, 1 Tb 3.29, 1 Sm 3.42
Sm: 0.1271 0.9250 0.3332  5 Tl 3.23-3.50, 1 Tb 3.29, 1 Sm 3.42
Sm: 0.6271 0.8332 0.5750  5 Tl 3.23-3.50, 1 Tb 3.29, 1 Sm 3.42
Sm: 0.8729 0.3332 0.0750  5 Tl 3.23-3.50, 1 Tb 3.29, 1 Sm 3.42
Sm: 0.1271 0.0750 0.6668  5 Tl 3.23-3.50, 1 Tb 3.29, 1 Sm 3.42
Sm: 0.6271 0.1668 0.4250  5 Tl 3.23-3.50, 1 Tb 3.29, 1 Sm 3.42
Tl: 0.1173 0.2933 0.3994  1 Tb 3.19, 5 Sm 3.23-3.50, 3 Tl 3.34-3.37
Tl: 0.1173 0.7067 0.6006  1 Tb 3.19, 5 Sm 3.23-3.50, 3 Tl 3.34-3.37
Tl: 0.3827 0.7933 0.8994  1 Tb 3.19, 5 Sm 3.23-3.50, 3 Tl 3.34-3.37
Tl: 0.3827 0.2067 0.1006  1 Tb 3.19, 5 Sm 3.23-3.50, 3 Tl 3.34-3.37
Tl: 0.8827 0.6006 0.2933  1 Tb 3.19, 5 Sm 3.23-3.50, 3 Tl 3.34-3.37
Tl: 0.6173 0.8994 0.2067  1 Tb 3.19, 5 Sm 3.23-3.50, 3 Tl 3.34-3.37
Tl: 0.6173 0.1006 0.7933  1 Tb 3.19, 5 Sm 3.23-3.50, 3 Tl 3.34-3.37
Tl: 0.8827 0.3994 0.7067  1 Tb 3.19, 5 Sm 3.23-3.50, 3 Tl 3.34-3.37

Calculated values
- SG = No. 86
- E (eV per cell) = -69.31
- V (A^3/atom) = 30.02
- formation enthalpy at 0 K (eV per atom) = -0.19